{"formula": "Cs2WO2F4", "functional": "PBE with a Hubbard U", "state": "optimized geometry", "lattice": [[5.631, -3.172, 0.000], [5.631, 3.172, 0.000], [-0.214, 0.000, 5.165]], "species": ["Cs", "Cs", "W", "O", "O", "F", "F", "F", "F"], "fractional_positions": [[0.177, 0.177, 0.306], [0.823, 0.823, 0.694], [0.500, 0.500, 0.000], [0.357, 0.357, 0.813], [0.643, 0.643, 0.187], [0.214, 0.661, 0.223], [0.339, 0.786, 0.777], [0.661, 0.214, 0.223], [0.786, 0.339, 0.777]], "m_tot_mub_per_atom": 0.008, "energy_ev_per_atom": -5.43, "mass_density_g_cm3": 5.0}